(1)
! PBE-GGA RbSrFeBr5, relaxed; values from VASP
&SYSTEM
  ibrav = 0, nat = 16, ntyp = 4
/
ATOMIC_SPECIES
Rb 85.47 Rb.upf
Sr 87.62 Sr.upf
Fe 55.84 Fe.upf
Br 79.90 Br.upf
ATOMIC_POSITIONS angstrom
Rb -4.431 -2.230 -0.401
Rb -2.778 -4.930 5.468
Sr 1.198 -4.634 2.490
Sr 0.000 0.000 0.000
Fe -3.925 -0.081 3.355
Fe -3.284 -7.079 1.712
Br -4.819 -3.881 -3.287
Br -2.390 -3.279 8.354
Br -5.192 1.934 3.959
Br -2.017 -9.094 1.107
Br -2.341 -0.746 5.109
Br -4.868 -6.414 -0.042
Br -5.321 -2.077 2.990
Br -1.889 -5.082 2.077
Br -2.869 0.474 1.200
Br -4.340 -7.634 3.867
CELL_PARAMETERS angstrom
-4.045 4.274 5.671
-5.560 -2.166 -5.584
2.395 -9.268 4.980
! Total DFT energy (no corrections) (eV/cell): -60.972
! Symmetry: No. 15
! ΔE_f (raw) (kJ/mol of atoms): -133

(2)
! PBE-GGA BaCa2HgBr8, relaxed; values from VASP
&SYSTEM
  ibrav = 0, nat = 12, ntyp = 4
/
ATOMIC_SPECIES
Ba 137.33 Ba.upf
Ca 40.08 Ca.upf
Hg 200.59 Hg.upf
Br 79.90 Br.upf
ATOMIC_POSITIONS angstrom
Ba 3.307 0.763 2.919
Ca 7.019 -3.290 3.369
Ca 3.555 -4.088 0.310
Hg 0.000 0.000 0.000
Br 4.783 -2.383 -1.763
Br 9.602 -4.483 4.024
Br 2.099 -5.845 2.182
Br 5.791 -4.994 5.441
Br 0.973 -2.895 -0.345
Br 8.476 -1.533 1.496
Br 6.204 -5.103 1.170
Br 4.371 -2.275 2.508
CELL_PARAMETERS angstrom
-0.588 -6.664 2.408
4.549 -2.239 -4.568
6.613 1.525 5.838
! Total DFT energy (no corrections) (eV/cell): -39.022
! Symmetry: No. 10
! ΔE_f (raw) (kJ/mol of atoms): -156

(3)
! PBE-GGA AcPm12Nd6, relaxed; values from VASP
&SYSTEM
  ibrav = 0, nat = 19, ntyp = 3
/
ATOMIC_SPECIES
Ac 227.00 Ac.upf
Pm 145.00 Pm.upf
Nd 144.24 Nd.upf
ATOMIC_POSITIONS angstrom
Ac 0.000 0.000 0.000
Pm 6.153 4.922 4.884
Pm 2.948 6.677 5.715
Pm 3.932 3.585 7.591
Pm 1.304 3.766 5.524
Pm 4.509 2.011 4.693
Pm 3.525 5.103 2.817
Pm -0.220 1.497 3.333
Pm 5.944 5.411 9.803
Pm 4.447 8.449 8.340
Pm 7.677 7.191 7.076
Pm 1.513 3.277 0.605
Pm 3.010 0.239 2.069
Nd 5.664 8.188 4.073
Nd 5.801 2.704 1.624
Nd 0.222 5.903 2.950
Nd 1.793 0.500 6.335
Nd 1.656 5.985 8.785
Nd 7.235 2.785 7.458
CELL_PARAMETERS angstrom
8.723 0.698 0.836
-0.633 8.728 0.836
-0.633 -0.737 8.737
! DFT formation energy (eV per formula unit): 2.6
! Total DFT energy (no corrections) (eV/cell): -87.133
! Symmetry: No. 148
! Energy relative to the lowest polymorph listed for this composition (meV per atom): 0

(4)
! PBE-GGA NdThGa4, relaxed; values from VASP
&SYSTEM
  ibrav = 0, nat = 6, ntyp = 3
/
ATOMIC_SPECIES
Nd 144.24 Nd.upf
Ga 69.72 Ga.upf
Th 232.04 Th.upf
ATOMIC_POSITIONS angstrom
Nd -0.430 0.520 -3.399
Ga 0.679 1.676 -6.305
Ga -2.128 1.846 -5.924
Ga -1.077 1.300 -8.503
Ga -0.918 -0.665 -6.461
Th 0.000 0.000 0.000
CELL_PARAMETERS angstrom
-0.316 3.917 -4.072
2.096 -1.089 -5.143
-3.501 -0.750 -4.382
! DFT formation energy (eV per formula unit): -2.9
! Total DFT energy (no corrections) (eV/cell): -27.242
! Symmetry: No. 216
! Energy relative to the lowest polymorph listed for this composition (meV per atom): 175

(5)
! PBE-GGA CrSiAu2, relaxed; values from VASP
&SYSTEM
  ibrav = 0, nat = 4, ntyp = 3
/
ATOMIC_SPECIES
Au 196.97 Au.upf
Cr 52.00 Cr.upf
Si 28.09 Si.upf
ATOMIC_POSITIONS angstrom
Au 0.000 0.000 0.000
Au -0.692 -3.958 -0.426
Cr 0.275 -2.292 1.681
Si -2.234 -1.720 0.449
CELL_PARAMETERS angstrom
-3.201 -3.387 -1.659
1.817 -4.530 0.806
-0.576 3.905 2.982
! Total DFT energy (no corrections) (eV/cell): -20.905
! Symmetry: No. 139
! ΔE_f (raw) (kJ/mol of atoms): 17

(6)
! PBE-GGA CoGeP2S, relaxed; values from VASP
&SYSTEM
  ibrav = 0, nat = 5, ntyp = 4
/
ATOMIC_SPECIES
P 30.97 P.upf
Ge 72.64 Ge.upf
Co 58.93 Co.upf
S 32.06 S.upf
ATOMIC_POSITIONS angstrom
P 0.000 2.103 0.000
P 2.103 0.000 0.000
Ge 2.103 2.103 2.536
Co 0.000 0.000 0.000
S 0.000 0.000 2.536
CELL_PARAMETERS angstrom
4.206 0.000 0.000
0.000 4.206 0.000
0.000 0.000 5.073
! Total DFT energy (no corrections) (eV/cell): -24.356
! Symmetry: No. 123
! Energy relative to the lowest polymorph listed for this composition (meV per atom): 0
! ΔE_f (raw) (kJ/mol of atoms): 45

(7)
! PBE-GGA Nd2ErThSb4, relaxed; values from VASP
&SYSTEM
  ibrav = 0, nat = 8, ntyp = 4
/
ATOMIC_SPECIES
Nd 144.24 Nd.upf
Er 167.26 Er.upf
Th 232.04 Th.upf
Sb 121.76 Sb.upf
ATOMIC_POSITIONS angstrom
Nd 2.243 -1.355 3.642
Nd 0.000 2.514 3.706
Er 2.243 3.869 0.064
Th 0.000 0.000 0.000
Sb 2.243 1.295 1.821
Sb 2.243 3.733 5.591
Sb 0.000 -0.066 5.557
Sb 0.000 5.094 1.856
CELL_PARAMETERS angstrom
4.486 0.000 0.000
0.000 7.738 0.127
0.000 -2.710 7.285
! Total DFT energy (no corrections) (eV/cell): -46.875
! Symmetry: No. 10
! ΔE_f (raw) (kJ/mol of atoms): -107

(8)
! PBE-GGA InAg6Hg2, relaxed; values from VASP
&SYSTEM
  ibrav = 0, nat = 9, ntyp = 3
/
ATOMIC_SPECIES
In 114.82 In.upf
Ag 107.87 Ag.upf
Hg 200.59 Hg.upf
ATOMIC_POSITIONS angstrom
In 0.000 0.000 0.000
Ag 0.708 -1.375 2.381
Ag 0.708 2.751 4.764
Ag 2.310 -2.751 4.764
Ag 2.310 5.502 0.000
Ag 2.310 1.375 2.381
Ag 0.708 2.749 0.000
Hg 1.509 4.125 2.382
Hg 1.509 0.000 4.763
CELL_PARAMETERS angstrom
3.018 0.000 0.000
0.000 8.251 0.000
0.000 -4.125 7.145
! DFT formation energy (eV per formula unit): 0.5
! Total DFT energy (no corrections) (eV/cell): -19.930
! Symmetry: No. 162
! Energy relative to the lowest polymorph listed for this composition (meV per atom): 0

(9)
! PBE-GGA HfFeH4, relaxed; values from VASP
&SYSTEM
  ibrav = 0, nat = 12, ntyp = 3
/
ATOMIC_SPECIES
Hf 178.49 Hf.upf
Fe 55.84 Fe.upf
H 1.01 H.upf
ATOMIC_POSITIONS angstrom
Hf -0.690 1.786 2.738
Hf 3.915 2.805 5.398
Fe 0.904 -0.453 1.892
Fe 1.612 2.295 4.068
H 3.259 4.088 7.076
H 0.675 3.250 3.236
H -0.034 0.502 1.060
H 2.550 1.340 4.900
H 1.258 0.922 2.980
H 0.214 1.332 4.630
H 1.967 3.669 5.156
H 3.011 3.258 3.507
CELL_PARAMETERS angstrom
-2.089 0.823 3.299
1.808 -0.906 3.784
3.505 4.673 1.053
! Total DFT energy (no corrections) (eV/cell): -65.704
! Symmetry: No. 12
! Energy relative to the lowest polymorph listed for this composition (meV per atom): 34

(10)
! PBE-GGA TiV2Pt, relaxed; values from VASP
&SYSTEM
  ibrav = 0, nat = 8, ntyp = 3
/
ATOMIC_SPECIES
V 50.94 V.upf
Pt 195.08 Pt.upf
Ti 47.87 Ti.upf
ATOMIC_POSITIONS angstrom
V -1.112 -3.505 0.572
V 0.392 -3.426 -1.450
V 1.285 -8.078 0.567
V -0.291 -9.613 -0.665
Pt 0.000 0.000 0.000
Pt -0.700 -6.204 0.772
Ti -1.577 -1.551 -1.268
Ti 0.837 -6.107 -1.259
CELL_PARAMETERS angstrom
-3.114 -1.648 0.763
-0.039 -1.453 -3.299
3.290 -9.210 2.048
! DFT formation energy (eV per formula unit): 0.1
! Total DFT energy (no corrections) (eV/cell): -64.109
! Symmetry: No. 122
! Energy relative to the lowest polymorph listed for this composition (meV per atom): 402

(11)
! PBE-GGA Sc4PtAuO, relaxed; values from VASP
&SYSTEM
  ibrav = 0, nat = 14, ntyp = 4
/
ATOMIC_SPECIES
Sc 44.96 Sc.upf
Pt 195.08 Pt.upf
Au 196.97 Au.upf
O 16.00 O.upf
ATOMIC_POSITIONS angstrom
Sc 3.034 1.519 6.077
Sc 0.000 4.558 5.957
Sc 0.000 4.558 0.938
Sc 3.034 1.519 1.058
Sc 1.517 3.039 3.508
Sc -1.517 0.000 3.508
Sc 1.517 0.000 3.508
Sc -1.517 3.039 3.508
Pt 0.000 1.519 1.672
Pt 3.034 4.558 5.344
Au 3.034 4.558 1.616
Au 0.000 1.519 5.399
O 0.000 4.558 3.552
O 3.034 1.519 3.463
CELL_PARAMETERS angstrom
6.068 0.000 0.000
0.000 6.077 0.000
-3.034 0.000 7.015
! Total DFT energy (no corrections) (eV/cell): -99.205
! Symmetry: No. 63
! ΔE_f (raw) (kJ/mol of atoms): -138

(12)
! PBE-GGA BaZrAsBr2, relaxed; values from VASP
&SYSTEM
  ibrav = 0, nat = 5, ntyp = 4
/
ATOMIC_SPECIES
As 74.92 As.upf
Br 79.90 Br.upf
Ba 137.33 Ba.upf
Zr 91.22 Zr.upf
ATOMIC_POSITIONS angstrom
As -1.577 0.206 2.146
Br -1.486 -2.049 -0.895
Br -1.577 1.722 -1.325
Ba -4.640 -0.121 -0.073
Zr 0.000 0.000 0.000
CELL_PARAMETERS angstrom
-3.155 3.443 -2.649
-2.971 -4.099 -1.789
-3.155 0.413 4.293
! Total DFT energy (no corrections) (eV/cell): -24.138
! Symmetry: No. 123
! Energy relative to the lowest polymorph listed for this composition (meV per atom): 0
! ΔE_f (raw) (kJ/mol of atoms): -109

(13)
! PBE-GGA NaGa2Au8, relaxed; values from VASP
&SYSTEM
  ibrav = 0, nat = 11, ntyp = 3
/
ATOMIC_SPECIES
Na 22.99 Na.upf
Ga 69.72 Ga.upf
Au 196.97 Au.upf
ATOMIC_POSITIONS angstrom
Na 2.215 3.272 4.264
Ga -0.697 2.682 0.107
Ga -0.964 -0.353 2.576
Au -0.840 3.900 4.704
Au 4.571 5.336 3.931
Au 3.603 4.982 6.516
Au 0.128 4.254 2.119
Au -0.140 1.208 4.596
Au 4.303 2.290 6.408
Au 0.828 1.563 2.011
Au 5.271 2.645 3.823
CELL_PARAMETERS angstrom
-1.393 5.363 0.214
-1.929 -0.707 5.151
7.753 1.888 3.162
! DFT formation energy (eV per formula unit): -0.4
! Total DFT energy (no corrections) (eV/cell): -34.016
! Symmetry: No. 123
! Energy relative to the lowest polymorph listed for this composition (meV per atom): 122

(14)
! PBE-GGA Zr4RuRh, relaxed; values from VASP
&SYSTEM
  ibrav = 0, nat = 6, ntyp = 3
/
ATOMIC_SPECIES
Zr 91.22 Zr.upf
Ru 101.07 Ru.upf
Rh 102.91 Rh.upf
ATOMIC_POSITIONS angstrom
Zr 1.657 1.656 8.958
Zr 1.657 1.657 1.621
Zr 3.314 3.312 6.929
Zr 0.000 0.000 3.650
Ru 0.000 0.000 0.000
Rh 1.657 1.656 5.289
CELL_PARAMETERS angstrom
3.314 -0.001 0.000
0.001 3.314 0.000
-0.001 -0.001 10.579
! DFT formation energy (eV per formula unit): -2.9
! Total DFT energy (no corrections) (eV/cell): -53.758
! Symmetry: No. 123
! Energy relative to the lowest polymorph listed for this composition (meV per atom): 0

(15)
! PBE-GGA Pm3InIr, relaxed; values from VASP
&SYSTEM
  ibrav = 0, nat = 20, ntyp = 3
/
ATOMIC_SPECIES
Pm 145.00 Pm.upf
In 114.82 In.upf
Ir 192.22 Ir.upf
ATOMIC_POSITIONS angstrom
Pm 5.214 -6.185 1.894
Pm -3.200 -4.353 4.913
Pm -3.973 -8.328 0.976
Pm 5.987 -2.211 5.830
Pm 3.559 -5.081 5.290
Pm -1.545 -5.458 1.516
Pm 1.314 -0.662 1.128
Pm 0.701 -9.877 5.679
Pm 4.304 -2.539 2.238
Pm -2.290 -8.000 4.569
Pm 0.549 -3.211 4.220
Pm 1.465 -7.328 2.587
In 0.384 -6.285 5.414
In 1.631 -4.254 1.392
In -0.623 -8.813 0.528
In 2.638 -1.726 6.279
Ir 5.834 -4.219 3.855
Ir -3.820 -6.320 2.951
Ir -1.892 -1.890 4.492
Ir 3.907 -8.649 2.314
CELL_PARAMETERS angstrom
-2.980 -1.175 6.179
-3.680 -8.790 -3.446
8.674 -0.573 4.074
! DFT formation energy (eV per formula unit): -2.3
! Total DFT energy (no corrections) (eV/cell): -112.709
! Symmetry: No. 14
! Energy relative to the lowest polymorph listed for this composition (meV per atom): 70

(16)
! PBE-GGA Ba2NaAu, relaxed; values from VASP
&SYSTEM
  ibrav = 0, nat = 4, ntyp = 3
/
ATOMIC_SPECIES
Na 22.99 Na.upf
Au 196.97 Au.upf
Ba 137.33 Ba.upf
ATOMIC_POSITIONS angstrom
Na 0.000 0.000 0.000
Au 4.231 4.231 4.231
Ba 2.116 2.116 2.116
Ba 6.347 6.347 6.347
CELL_PARAMETERS angstrom
0.000 4.231 4.231
4.231 0.000 4.231
4.231 4.231 0.000
! DFT formation energy (eV per formula unit): -1.0
! Total DFT energy (no corrections) (eV/cell): -9.488
! Symmetry: No. 225
! Energy relative to the lowest polymorph listed for this composition (meV per atom): 115

(17)
! PBE-GGA Sm3Dy2Er8, relaxed; values from VASP
&SYSTEM
  ibrav = 0, nat = 13, ntyp = 3
/
ATOMIC_SPECIES
Sm 150.36 Sm.upf
Dy 162.50 Dy.upf
Er 167.26 Er.upf
ATOMIC_POSITIONS angstrom
Sm 0.000 0.000 0.000
Sm 1.273 -0.408 12.168
Sm 2.751 3.778 3.962
Dy 3.389 3.584 10.036
Dy 0.635 -0.214 6.094
Er 0.051 1.620 3.147
Er 3.973 1.751 12.983
Er 0.112 3.268 6.281
Er 3.911 0.102 9.849
Er 0.768 3.097 12.335
Er 0.697 1.444 9.210
Er 3.327 1.926 6.920
Er 3.256 0.273 3.795
CELL_PARAMETERS angstrom
5.900 0.796 1.465
-0.455 5.139 3.309
-1.422 -2.565 11.355
! DFT formation energy (eV per formula unit): 0.3
! Total DFT energy (no corrections) (eV/cell): -59.584
! Symmetry: No. 2
! Energy relative to the lowest polymorph listed for this composition (meV per atom): 0

(18)
! PBE-GGA KNb2TeO8, relaxed; values from VASP
&SYSTEM
  ibrav = 0, nat = 12, ntyp = 4
/
ATOMIC_SPECIES
K 39.10 K.upf
Nb 92.91 Nb.upf
Te 127.60 Te.upf
O 16.00 O.upf
ATOMIC_POSITIONS angstrom
K 0.371 0.369 3.613
Nb 3.176 3.144 5.732
Nb 3.611 3.573 2.538
Te 0.000 0.000 0.000
O 1.897 4.275 1.982
O 4.615 4.566 1.242
O 4.296 1.851 1.983
O 4.890 2.442 6.289
O 2.172 2.150 7.029
O 2.491 4.866 6.288
O 4.298 4.254 4.138
O 2.489 2.463 4.133
CELL_PARAMETERS angstrom
5.248 0.739 0.524
0.797 5.240 0.521
0.742 0.738 7.226
! Total DFT energy (no corrections) (eV/cell): -87.181
! Symmetry: No. 12
! ΔE_f (raw) (kJ/mol of atoms): -186

(19)
! PBE-GGA SbTeS, relaxed; values from VASP
&SYSTEM
  ibrav = 0, nat = 3, ntyp = 3
/
ATOMIC_SPECIES
Sb 121.76 Sb.upf
Te 127.60 Te.upf
S 32.06 S.upf
ATOMIC_POSITIONS angstrom
Sb 5.306 2.669 0.000
Te 0.740 2.662 2.889
S 3.582 0.944 0.000
CELL_PARAMETERS angstrom
5.442 0.009 0.000
-0.004 3.445 0.000
0.000 0.000 5.779
! Total DFT energy (no corrections) (eV/cell): -11.313
! Symmetry: No. 25
! Energy relative to the lowest polymorph listed for this composition (meV per atom): 33
! ΔE_f (raw) (kJ/mol of atoms): 3

(20)
! PBE-GGA Dy5InRu3, relaxed; values from VASP
&SYSTEM
  ibrav = 0, nat = 18, ntyp = 3
/
ATOMIC_SPECIES
Dy 162.50 Dy.upf
In 114.82 In.upf
Ru 101.07 Ru.upf
ATOMIC_POSITIONS angstrom
Dy -2.449 -8.163 -5.829
Dy -0.132 -2.099 -5.967
Dy -2.079 -4.851 -7.830
Dy 0.287 -5.705 -4.910
Dy 1.379 -8.754 -6.057
Dy 3.746 -9.608 -3.137
Dy 1.662 -5.707 -8.443
Dy -2.866 -3.733 -4.229
Dy 4.115 -6.296 -5.138
Dy 0.004 -8.752 -2.524
In 3.071 -6.601 -1.372
In -1.405 -7.859 -9.595
Ru 1.908 -11.070 -7.401
Ru -0.400 -7.009 -7.215
Ru 0.000 0.000 0.000
Ru 2.332 -4.314 -0.385
Ru -0.242 -3.390 -3.566
Ru 2.066 -7.451 -3.752
CELL_PARAMETERS angstrom
-4.858 -4.923 -2.963
1.860 -0.910 -7.234
4.664 -8.627 -0.770
! DFT formation energy (eV per formula unit): -1.4
! Total DFT energy (no corrections) (eV/cell): -109.871
! Symmetry: No. 12

(21)
! PBE-GGA Y4GaBi, relaxed; values from VASP
&SYSTEM
  ibrav = 0, nat = 12, ntyp = 3
/
ATOMIC_SPECIES
Y 88.91 Y.upf
Ga 69.72 Ga.upf
Bi 208.98 Bi.upf
ATOMIC_POSITIONS angstrom
Y -2.411 -0.522 5.710
Y -4.205 -3.784 0.694
Y -2.707 -3.585 4.136
Y -1.791 -6.159 1.957
Y -4.007 0.827 0.152
Y -3.091 -1.746 -2.028
Y -1.593 -1.547 1.415
Y -3.387 -4.810 -3.602
Ga -1.180 0.370 -0.942
Ga -4.619 -5.701 3.050
Bi -1.214 -4.168 -0.574
Bi -4.584 -1.163 2.683
CELL_PARAMETERS angstrom
-4.701 1.487 -3.787
2.045 -8.124 -1.516
-3.142 1.305 7.411
! DFT formation energy (eV per formula unit): -3.0
! Total DFT energy (no corrections) (eV/cell): -71.530
! Symmetry: No. 15